# 1
Entry from Alexandria: a relaxed structure of LaCdIn2I (PBE-GGA).

Cell and atoms, written as POSCAR:
```
LaCdIn2I
1.0
5.2938 0.0000 0.0000
0.0000 6.4723 0.0000
0.0000 0.0000 5.2938
In Cd I La
2 1 1 1
Direct
0.0000 0.0000 0.5000
0.5000 0.0000 0.0000
0.0000 0.0000 0.0000
0.5000 0.5000 0.5000
0.0000 0.5000 0.0000
```

Output
ΔE_f (raw)   -20.1 meV per atom

=====

# 2
Entry from Alexandria: a relaxed structure of AgSnN2F (PBE-GGA).

Cell and atoms, written as POSCAR:
```
AgSnN2F
1.0
4.1658 0.0000 0.0000
0.0000 6.0431 0.0000
0.0000 0.0000 3.7925
N F Sn Ag
2 1 1 1
Direct
0.0000 0.0000 0.5000
0.5000 0.5000 0.5000
0.5000 0.0000 0.0000
0.0000 0.0000 0.0000
0.0000 0.5000 0.0000
```

Output
E above lowest polymorph   48.59 kJ per mole of atoms
ΔE_f (raw)   1034.4 meV per atom

=====

# 3
Entry from Alexandria: a relaxed structure of BeCrAs (PBE-GGA).

Cell and atoms, written as POSCAR:
```
BeCrAs
1.0
-0.4192 1.5085 3.7569
2.2080 -3.3647 -0.6072
2.0989 1.4394 -0.3438
Cr Be As
1 1 1
Direct
0.3333 0.6667 0.7701
0.6667 0.3333 0.1912
0.0000 0.0000 0.0387
```

Output
E above lowest polymorph   34.64 kJ per mole of atoms
Formation energy   0.36 eV per atom

=====

# 4
Entry from Alexandria: a relaxed structure of TbSi2Tc (PBE-GGA).

Cell and atoms, written as POSCAR:
```
TbSi2Tc
1.0
-5.4887 3.1388 -2.4627
-0.8337 -4.6451 -4.0621
-3.7884 -3.1702 4.4028
Si Tb Tc
8 4 4
Direct
0.4497 0.9372 0.3295
0.4497 0.5628 0.3295
0.9497 0.4372 0.1705
0.0503 0.5628 0.8295
0.5503 0.0628 0.6705
0.9497 0.0628 0.1705
0.5503 0.4372 0.6705
0.0503 0.9372 0.8295
0.8321 0.7500 0.4892
0.6679 0.7500 0.9892
0.3321 0.2500 0.0108
0.1679 0.2500 0.5108
0.6677 0.2500 0.3471
0.1677 0.7500 0.1529
0.8323 0.2500 0.8471
0.3323 0.7500 0.6529
```

Output
E above lowest polymorph   1.90 kJ per mole of atoms
ΔE_f (raw)   -681.7 meV per atom

=====

# 5
Entry from Alexandria: a relaxed structure of Pm6PdSe3S2 (PBE-GGA).

Cell and atoms, written as POSCAR:
```
Pm6PdSe3S2
1.0
-0.5444 -1.0064 -3.9161
1.7086 -8.0230 1.8244
-8.7377 1.0928 3.0591
Pm S Pd Se
6 2 1 3
Direct
0.0040 0.2442 0.0080
0.3317 0.9035 0.6633
0.9960 0.7558 0.9920
0.3296 0.4273 0.6592
0.6704 0.5727 0.3408
0.6683 0.0965 0.3367
0.8323 0.6657 0.6646
0.1677 0.3343 0.3354
0.5000 0.0000 0.0000
0.8343 0.1680 0.6685
0.1657 0.8320 0.3315
0.5000 0.5000 0.0000
```

Output
ΔE_f (raw)   -1717.7 meV per atom

=====

Number 1: total moment 0.000 μB per atom. Number 2: total moment 0.436 μB per atom. Number 3: total moment 0.000 μB per atom. Number 4: total moment 0.000 μB per atom. Number 5: total moment 0.000 μB per atom.